1.
Here is a geometry-optimized KRb3Cr structure from Alexandria. Energies are from PBE.

Values from the calculation:
- Total magnetic moment: 5.12 μB per formula unit
- ΔE to the lowest computed polymorph: 0.325 eV per atom
- Theoretical density: 1.3 g/cm³
- E_form: 0.8884 eV/atom
- SG: Pm-3m (221)
- Electronic total energy: -1.84 eV per atom

CIF file:
```
data_KRb3Cr
_cell_length_a 7.707
_cell_length_b 7.707
_cell_length_c 7.707
_cell_angle_alpha 90.00
_cell_angle_beta 90.00
_cell_angle_gamma 90.00
_space_group_name_H-M_alt 'P 1'
_space_group_IT_number 1
loop_
_space_group_symop_operation_xyz
'x,y,z'
loop_
_atom_site_label
_atom_site_type_symbol
_atom_site_fract_x
_atom_site_fract_y
_atom_site_fract_z
K1 K 0.000 0.000 0.000
Rb1 Rb 0.000 0.000 0.500
Rb2 Rb 0.000 0.500 0.000
Rb3 Rb 0.500 0.000 0.000
Cr1 Cr 0.500 0.500 0.500
```

2.
Here is a geometry-optimized KRbCrSb2 structure from Alexandria. Energies are from PBE.

Values from the calculation:
- Total magnetic moment: 0.37 μB per formula unit
- Raw formation energy: 1.71 eV per atom
- Theoretical density: 3.5 g/cm³
- SG: P4/mmm (123)
- Electronic total energy: -2.27 eV per atom

CIF file:
```
data_KRbCrSb2
_cell_length_a 6.001
_cell_length_b 6.001
_cell_length_c 5.508
_cell_angle_alpha 90.00
_cell_angle_beta 90.00
_cell_angle_gamma 90.00
_space_group_name_H-M_alt 'P 1'
_space_group_IT_number 1
loop_
_space_group_symop_operation_xyz
'x,y,z'
loop_
_atom_site_label
_atom_site_type_symbol
_atom_site_fract_x
_atom_site_fract_y
_atom_site_fract_z
K1 K 0.000 0.000 0.000
Rb1 Rb 0.000 0.000 0.500
Cr1 Cr 0.500 0.500 0.000
Sb1 Sb 0.000 0.500 0.500
Sb2 Sb 0.500 0.000 0.500
```

3.
Here is a geometry-optimized K2RbCrSe4 structure from Alexandria. Energies are from PBE.

Values from the calculation:
- Total magnetic moment: 1.00 μB per formula unit
- Raw formation energy: -0.82 eV per atom
- Theoretical density: 3.0 g/cm³
- SG: I-42m (121)
- Electronic total energy: -4.16 eV per atom

CIF file:
```
data_K2RbCrSe4
_cell_length_a 7.262
_cell_length_b 7.262
_cell_length_c 7.262
_cell_angle_alpha 110.81
_cell_angle_beta 110.81
_cell_angle_gamma 106.83
_space_group_name_H-M_alt 'P 1'
_space_group_IT_number 1
loop_
_space_group_symop_operation_xyz
'x,y,z'
loop_
_atom_site_label
_atom_site_type_symbol
_atom_site_fract_x
_atom_site_fract_y
_atom_site_fract_z
K1 K 0.250 0.750 0.500
K2 K 0.750 0.250 0.500
Rb1 Rb 0.000 0.000 0.000
Cr1 Cr 0.500 0.500 0.000
Se1 Se 0.191 0.514 0.000
Se2 Se 0.486 0.486 0.677
Se3 Se 0.514 0.191 0.000
Se4 Se 0.809 0.809 0.323
```

4.
Here is a geometry-optimized KRbVCr2 structure from Alexandria. Energies are from PBE.

Values from the calculation:
- Total magnetic moment: 4.92 μB per formula unit
- Theoretical density: 3.1 g/cm³
- E_form: 1.2447 eV/atom
- SG: P4/mmm (123)
- Electronic total energy: -4.84 eV per atom

CIF file:
```
data_KRbVCr2
_cell_length_a 4.865
_cell_length_b 4.865
_cell_length_c 6.272
_cell_angle_alpha 90.00
_cell_angle_beta 90.00
_cell_angle_gamma 90.00
_space_group_name_H-M_alt 'P 1'
_space_group_IT_number 1
loop_
_space_group_symop_operation_xyz
'x,y,z'
loop_
_atom_site_label
_atom_site_type_symbol
_atom_site_fract_x
_atom_site_fract_y
_atom_site_fract_z
K1 K 0.000 0.000 0.000
Rb1 Rb 0.500 0.500 0.000
V1 V 0.000 0.000 0.500
Cr1 Cr 0.000 0.500 0.500
Cr2 Cr 0.500 0.000 0.500
```